{"formula": "SmCd11Au", "functional": "PBE", "state": "relaxed", "cell": [[2.9490, -7.0512, 0.0000], [2.9490, 7.0512, 0.0000], [-2.9485, 0.0000, 7.0299]], "species": ["Sm", "Cd", "Cd", "Cd", "Cd", "Cd", "Cd", "Cd", "Cd", "Cd", "Cd", "Cd", "Au"], "frac_coords": [[0.0000, 0.0000, 0.0000], [0.0000, 0.0000, 0.5000], [0.0000, 0.5000, 0.0000], [0.0087, 0.3563, 0.3532], [0.2921, 0.5033, 0.7858], [0.3563, 0.0087, 0.3532], [0.4967, 0.7079, 0.2142], [0.5000, 0.0000, 0.0000], [0.5033, 0.2921, 0.7858], [0.6437, 0.9913, 0.6468], [0.7079, 0.4967, 0.2142], [0.9913, 0.6437, 0.6468], [0.5000, 0.5000, 0.5000]], "total_energy_ev_per_fu": -19.84, "space_group": "C2/m, No. 12", "dos_ef_per_ev_fu": 5.85}



{"formula": "Pm2Er2Th15", "functional": "PBE", "state": "relaxed", "cell": [[5.7273, 3.3066, 5.7400], [-5.7273, 3.3066, 5.7400], [0.0000, -6.6133, 5.7400]], "species": ["Pm", "Pm", "Er", "Er", "Th", "Th", "Th", "Th", "Th", "Th", "Th", "Th", "Th", "Th", "Th", "Th", "Th", "Th", "Th"], "frac_coords": [[0.1780, 0.1780, 0.1780], [0.8220, 0.8220, 0.8220], [0.4014, 0.4014, 0.4014], [0.5986, 0.5986, 0.5986], [0.0000, 0.5000, 0.5000], [0.1448, 0.1448, 0.6594], [0.1448, 0.6594, 0.1448], [0.2030, 0.5000, 0.7970], [0.2030, 0.7970, 0.5000], [0.3406, 0.8552, 0.8552], [0.5000, 0.0000, 0.5000], [0.5000, 0.2030, 0.7970], [0.5000, 0.5000, 0.0000], [0.5000, 0.7970, 0.2030], [0.6594, 0.1448, 0.1448], [0.7970, 0.2030, 0.5000], [0.7970, 0.5000, 0.2030], [0.8552, 0.3406, 0.8552], [0.8552, 0.8552, 0.3406]], "total_energy_ev_per_fu": -124.68, "space_group": "R-3m, No. 166", "dos_ef_per_ev_fu": 39.55}



{"formula": "SbTeAs2", "functional": "PBE", "state": "relaxed", "cell": [[3.0695, -4.1140, 0.0000], [3.0695, 4.1140, 0.0000], [-3.0604, 0.0000, 4.1177]], "species": ["Sb", "Te", "As", "As"], "frac_coords": [[0.0000, 0.0000, 0.0000], [0.5000, 0.5000, 0.0000], [0.0000, 0.5000, 0.5000], [0.5000, 0.0000, 0.5000]], "total_energy_ev_per_fu": -16.04, "space_group": "C2/m, No. 12", "dos_ef_per_ev_fu": 2.79, "formation_energy_uncorrected_ev_per_atom": 0.131}



| no. | calculated density (Mg/m³) | total magnetic moment (Bohr magnetons per cell) |
| --- | --- | --- |
| 1 | 8.996 | 0.0 |
| 2 | 10.451 | 0.0 |
| 3 | 6.374 | 0.0 |